Arrangement one

Here is a geometry-optimized FeTc2Rh structure from the Alexandria database. Energies are from PBE.

```
data_FeTc2Rh
_chemical_formula_sum 'Fe2 Tc4 Rh2'
_symmetry_space_group_name_H-M 'I 4/m m m'
_symmetry_Int_Tables_number 139
_symmetry_space_group_name_Hall '-I 4 2'
_cell_length_a 3.743
_cell_length_b 3.743
_cell_length_c 7.743
_cell_angle_alpha 90.00
_cell_angle_beta 90.00
_cell_angle_gamma 90.00
loop_
_atom_site_label
_atom_site_type_symbol
_atom_site_fract_x
_atom_site_fract_y
_atom_site_fract_z
Fe1 Fe 0.000 0.000 0.000
Tc1 Tc 0.000 0.500 0.250
Rh1 Rh 0.000 0.000 0.500
```

Arrangement two

Here is a geometry-optimized FeTc2Rh structure from the Alexandria database. Energies are from PBE.

```
data_FeTc2Rh
_chemical_formula_sum 'Fe1 Tc2 Rh1'
_symmetry_space_group_name_H-M 'P m m m'
_symmetry_Int_Tables_number 47
_cell_length_a 2.677
_cell_length_b 3.728
_cell_length_c 5.395
_cell_angle_alpha 90.00
_cell_angle_beta 90.00
_cell_angle_gamma 90.00
loop_
_symmetry_equiv_pos_as_xyz
'x,y,z'
'-x,-y,-z'
'-x,-y,z'
'x,y,-z'
'x,-y,-z'
'-x,y,z'
'-x,y,-z'
'x,-y,z'
loop_
_atom_site_label
_atom_site_type_symbol
_atom_site_fract_x
_atom_site_fract_y
_atom_site_fract_z
Fe1 Fe 0.000 0.000 0.000
Tc1 Tc 0.500 0.500 0.228
Rh1 Rh 0.000 0.000 0.500
```

Arrangement three

Here is a geometry-optimized FeTc2Rh structure from the Alexandria database. Energies are from PBE.

```
data_FeTc2Rh
_chemical_formula_sum 'Fe3 Tc6 Rh3'
_symmetry_space_group_name_H-M 'R 3 m'
_symmetry_Int_Tables_number 160
_symmetry_space_group_name_Hall 'R 3 -2"'
_cell_length_a 2.7212
_cell_length_b 2.7212
_cell_length_c 26.1495
_cell_angle_alpha 90.00
_cell_angle_beta 90.00
_cell_angle_gamma 120.00
loop_
_atom_site_label
_atom_site_type_symbol
_atom_site_fract_x
_atom_site_fract_y
_atom_site_fract_z
Fe1 Fe 0.0000 0.0000 0.0000
Tc1 Tc 0.0000 0.0000 0.2494
Tc2 Tc 0.0000 0.0000 0.5000
Rh1 Rh 0.0000 0.0000 0.7468
```

Arrangement four

Here is a geometry-optimized FeTc2Rh structure from the Alexandria database. Energies are from PBE.

```
data_FeTc2Rh
_chemical_formula_sum 'Fe2 Tc4 Rh2'
_symmetry_space_group_name_H-M 'C 1 m 1'
_symmetry_Int_Tables_number 8
_cell_length_a 8.891
_cell_length_b 2.672
_cell_length_c 4.704
_cell_angle_alpha 90.00
_cell_angle_beta 99.42
_cell_angle_gamma 90.00
loop_
_symmetry_equiv_pos_as_xyz
'x,y,z'
'x,-y,z'
'x+1/2,y+1/2,z'
'x+1/2,-y+1/2,z'
loop_
_atom_site_label
_atom_site_type_symbol
_atom_site_fract_x
_atom_site_fract_y
_atom_site_fract_z
Fe1 Fe 0.000 0.000 0.000
Tc1 Tc 0.256 0.000 0.754
Tc2 Tc 0.497 0.000 0.500
Rh1 Rh 0.251 0.500 0.243
```

List of relative energies, unit eV/atom: arrangement one 0.028; arrangement two 0.000; arrangement three 0.051; arrangement four 0.035